PBE-GGA Ca2DyIn9, optimized geometry; formation enthalpy at 0 K = -8.2 kcal/mol of atoms; Fermi-level density of states = 4.809 states/eV/f.u.; space group = P4/mmm, No. 123
1.0
4.6892 0.0000 0.0000
0.0000 4.6892 0.0000
0.0000 0.0000 14.1070
Ca Dy In
2 1 9
Cartesian
0.0000 0.0000 2.3694
0.0000 0.0000 11.7376
0.0000 0.0000 7.0535
0.0000 2.3446 0.0000
0.0000 2.3446 4.7256
0.0000 2.3446 9.3814
2.3446 0.0000 0.0000
2.3446 0.0000 4.7256
2.3446 0.0000 9.3814
2.3446 2.3446 2.3551
2.3446 2.3446 7.0535
2.3446 2.3446 11.7519